[1]
This record from Alexandria via LeMat-Bulk describes an optimized crystal structure of Y2TaZn. The functional is PBE-GGA.

abc: 5.920 5.920 5.391
angles: 110.17 110.17 32.12
Fractional positions:
Y: 0.000 0.000 0.000
Y: 0.200 0.200 0.633
Ta: 0.435 0.435 0.460
Zn: 0.747 0.747 0.155

Summary:
Space-group type: Cm


[2]
This record from Alexandria via LeMat-Bulk describes an optimized crystal structure of Y2TaZn. The functional is PBE-GGA.

abc: 10.011 10.011 10.011
angles: 19.30 19.30 19.30
Fractional positions:
Y: 0.248 0.248 0.248
Y: 0.752 0.752 0.752
Ta: 0.000 0.000 0.000
Zn: 0.500 0.500 0.500

Summary:
Space-group type: R-3m


[3]
This record from Alexandria via LeMat-Bulk describes an optimized crystal structure of Y2TaZn. The functional is PBE-GGA.

abc: 3.297 3.297 8.556
angles: 90.00 90.00 90.00
Fractional positions:
Y: 0.000 0.000 0.242
Y: 0.000 0.000 0.758
Ta: 0.500 0.500 0.500
Zn: 0.500 0.500 0.000

Summary:
Space-group type: P4/mmm


[4]
This record from Alexandria via LeMat-Bulk describes an optimized crystal structure of Y2TaZn. The functional is PBE-GGA.

abc: 10.298 10.298 10.298
angles: 18.52 18.52 18.52
Fractional positions:
Y: 0.000 0.000 0.000
Y: 0.225 0.225 0.225
Ta: 0.478 0.478 0.478
Zn: 0.744 0.744 0.744

Summary:
Space-group type: R3m


[5]
This record from Alexandria via LeMat-Bulk describes an optimized crystal structure of Y2TaZn. The functional is PBE-GGA.

abc: 4.605 4.605 4.324
angles: 90.00 90.00 90.00
Fractional positions:
Y: 0.000 0.500 0.000
Y: 0.500 0.000 0.000
Ta: 0.000 0.000 0.500
Zn: 0.500 0.500 0.500

Summary:
Space-group type: P4/mmm


[6]
This record from Alexandria via LeMat-Bulk describes an optimized crystal structure of Y2TaZn. The functional is PBE-GGA.

abc: 5.402 5.402 5.749
angles: 101.94 101.94 34.74
Fractional positions:
Y: 0.244 0.244 0.249
Y: 0.756 0.756 0.751
Ta: 0.000 0.000 0.500
Zn: 0.500 0.500 0.000

Summary:
Space-group type: C2/m


[7]
This record from Alexandria via LeMat-Bulk describes an optimized crystal structure of YZr2Ta. The functional is PBE-GGA.

abc: 6.411 6.411 6.411
angles: 103.44 103.44 122.36
Fractional positions:
Y: 0.000 0.000 0.000
Y: 0.750 0.250 0.500
Zr: 0.150 0.125 0.525
Zr: 0.375 0.850 0.975
Zr: 0.600 0.625 0.475
Zr: 0.875 0.400 0.025
Ta: 0.250 0.750 0.500
Ta: 0.500 0.500 0.000

Summary:
Space-group type: I-42d
Offset from the most stable computed form (eV/atom): 0.514


[8]
This record from Alexandria via LeMat-Bulk describes an optimized crystal structure of YZr2Ta. The functional is PBE-GGA.

abc: 4.581 4.581 4.438
angles: 90.00 90.00 90.00
Fractional positions:
Y: 0.000 0.000 0.000
Zr: 0.000 0.500 0.500
Zr: 0.500 0.000 0.500
Ta: 0.500 0.500 0.000

Summary:
Space-group type: P4/mmm
Offset from the most stable computed form (eV/atom): 0.143


[9]
This record from Alexandria via LeMat-Bulk describes an optimized crystal structure of YZrTa2. The functional is PBE-GGA.

abc: 2.972 2.972 9.910
angles: 90.00 90.00 90.00
Fractional positions:
Y: 0.000 0.000 0.000
Zr: 0.000 0.000 0.500
Ta: 0.500 0.500 0.263
Ta: 0.500 0.500 0.737

Summary:
Space-group type: P4/mmm
Offset from the most stable computed form (eV/atom): 0.197


[10]
This record from Alexandria via LeMat-Bulk describes an optimized crystal structure of YZrTa2. The functional is PBE-GGA.

abc: 5.133 5.133 6.013
angles: 93.57 93.57 34.10
Fractional positions:
Y: 0.000 0.000 0.000
Zr: 0.236 0.236 0.710
Ta: 0.493 0.493 0.480
Ta: 0.751 0.751 0.274

Summary:
Space-group type: Cm
Offset from the most stable computed form (eV/atom): 0.171


[11]
This record from Alexandria via LeMat-Bulk describes an optimized crystal structure of YZr2Ta. The functional is PBE-GGA.

abc: 5.961 5.961 5.961
angles: 143.18 131.37 62.52
Fractional positions:
Y: 0.000 0.000 0.000
Zr: 0.265 0.765 0.500
Zr: 0.544 0.544 0.000
Ta: 0.746 0.246 0.500

Summary:
Space-group type: Imm2
Offset from the most stable computed form (eV/atom): 0.124


[12]
This record from Alexandria via LeMat-Bulk describes an optimized crystal structure of YZrTa2. The functional is PBE-GGA.

abc: 10.504 10.504 10.504
angles: 17.14 17.14 17.14
Fractional positions:
Y: 0.000 0.000 0.000
Zr: 0.500 0.500 0.500
Ta: 0.247 0.247 0.247
Ta: 0.753 0.753 0.753

Summary:
Space-group type: R-3m
Offset from the most stable computed form (eV/atom): 0.232


[13]
This record from Alexandria via LeMat-Bulk describes an optimized crystal structure of Y2ZrTa2. The functional is PBE-GGA.

abc: 8.281 8.281 8.281
angles: 151.78 151.78 40.34
Fractional positions:
Y: 0.100 0.100 0.000
Y: 0.900 0.900 0.000
Zr: 0.500 0.500 0.000
Ta: 0.250 0.750 0.500
Ta: 0.750 0.250 0.500

Summary:
Space-group type: I4/mmm
Offset from the most stable computed form (eV/atom): 0.000


[14]
This record from Alexandria via LeMat-Bulk describes an optimized crystal structure of YZr2Ta. The functional is PBE-GGA.

abc: 3.109 3.109 9.826
angles: 90.00 90.00 90.00
Fractional positions:
Y: 0.000 0.000 0.000
Zr: 0.000 0.000 0.539
Zr: 0.500 0.500 0.303
Ta: 0.500 0.500 0.760

Summary:
Space-group type: P4mm
Offset from the most stable computed form (eV/atom): 0.087


[15]
This record from Alexandria via LeMat-Bulk describes an optimized crystal structure of YZr2Ta. The functional is PBE-GGA.

abc: 10.786 10.786 10.786
angles: 17.10 17.10 17.10
Fractional positions:
Y: 0.000 0.000 0.000
Zr: 0.242 0.242 0.242
Zr: 0.758 0.758 0.758
Ta: 0.500 0.500 0.500

Summary:
Space-group type: R-3m
Offset from the most stable computed form (eV/atom): 0.091


[16]
This record from Alexandria via LeMat-Bulk describes an optimized crystal structure of YZr2Ta. The functional is PBE-GGA.

abc: 5.072 5.072 5.072
angles: 60.00 60.00 60.00
Fractional positions:
Y: 0.000 0.000 0.000
Zr: 0.500 0.500 0.500
Zr: 0.750 0.750 0.750
Ta: 0.250 0.250 0.250

Summary:
Space-group type: F-43m
Offset from the most stable computed form (eV/atom): 0.187


[17]
This record from Alexandria via LeMat-Bulk describes an optimized crystal structure of YZrTa2. The functional is PBE-GGA.

abc: 3.021 5.054 5.830
angles: 90.00 99.22 90.00
Fractional positions:
Y: 0.000 0.000 0.000
Zr: 0.500 0.000 0.500
Ta: 0.292 0.500 0.717
Ta: 0.708 0.500 0.283

Summary:
Space-group type: P2/m
Offset from the most stable computed form (eV/atom): 0.174


[18]
This record from Alexandria via LeMat-Bulk describes an optimized crystal structure of YZrTa. The functional is PBE-GGA.

abc: 3.181 3.181 8.010
angles: 90.00 90.00 120.00
Fractional positions:
Y: 0.000 0.000 0.000
Zr: 0.667 0.333 0.370
Ta: 0.333 0.667 0.674

Summary:
Space-group type: P3m1
Offset from the most stable computed form (eV/atom): 0.109


[19]
This record from Alexandria via LeMat-Bulk describes an optimized crystal structure of YZr2Ta. The functional is PBE-GGA.

abc: 3.163 3.163 9.731
angles: 90.00 90.00 90.00
Fractional positions:
Y: 0.000 0.000 0.000
Zr: 0.500 0.500 0.291
Zr: 0.500 0.500 0.709
Ta: 0.000 0.000 0.500

Summary:
Space-group type: P4/mmm
Offset from the most stable computed form (eV/atom): 0.031


[20]
This record from Alexandria via LeMat-Bulk describes an optimized crystal structure of YZr2Ta. The functional is PBE-GGA.

abc: 5.569 5.569 5.569
angles: 132.09 132.09 70.09
Fractional positions:
Y: 0.000 0.000 0.000
Zr: 0.250 0.750 0.500
Zr: 0.500 0.500 0.000
Ta: 0.750 0.250 0.500

Summary:
Space-group type: I-4m2
Offset from the most stable computed form (eV/atom): 0.142


no.,energy of formation from the pure elements (eV/f.u.)
1,0.34
2,1.01
3,0.35
4,1.08
5,1.01
6,1.46
7,2.67
8,1.19
9,1.47
10,1.37
11,1.11
12,1.62
13,3.53
14,0.96
15,0.98
16,1.36
17,1.38
18,1.03
19,0.74
20,1.18